Entry 1:
A plane-wave DFT calculation with PBE was carried out for an optimized crystal structure of AsRhCO2.

## Properties
Total magnetic moment in μB per cell: 0.00
Crystal system: tetragonal
ΔE_f (raw) in eV/atom: 1.0095
DFT total energy in eV for the cell shown: -26.094

Cell: 3.6006 4.1603 3.6006 Å, 90.00 90.00 90.00°
Positions (direct):
Rh  0.0000  0.5000  0.0000
C  0.0000  0.0000  0.0000
O  0.5000  0.0000  0.0000
O  0.0000  0.0000  0.5000
As  0.5000  0.5000  0.5000

Entry 2:
A plane-wave DFT calculation with PBE was carried out for an optimized crystal structure of ErScCrRu.

## Properties
E_form in eV per atom: -0.113
Total magnetic moment in μB per cell: 3.40
Crystal system: cubic
DFT total energy in eV for the cell shown: -30.244

Cell: 4.7377 4.7377 4.7377 Å, 60.00 60.00 60.00°
Positions (direct):
Er  0.5000  0.5000  0.5000
Cr  0.7500  0.7500  0.7500
Sc  0.0000  0.0000  0.0000
Ru  0.2500  0.2500  0.2500

Entry 3:
A plane-wave DFT calculation with PBE was carried out for an optimized crystal structure of KBe4Co.

## Properties
E_form in eV per atom: 0.771
Total magnetic moment in μB per cell: 1.76
Crystal system: cubic
DFT total energy in eV for the cell shown: -18.480

Cell: 4.7110 4.7110 4.7110 Å, 60.00 60.00 60.00°
Positions (direct):
Be  0.3814  0.3814  0.8559
Be  0.8559  0.3814  0.3814
Be  0.3814  0.8559  0.3814
K  0.0000  0.0000  0.0000
Be  0.3814  0.3814  0.3814
Co  0.7500  0.7500  0.7500

> The lowest total magnetic moment belongs to which entry?

AsRhCO2

> Which of these has the highest total magnetic moment?

ErScCrRu

What did the third record say?
A plane-wave DFT calculation with PBE was carried out for an optimized crystal structure of KBe4Co.

## Properties
E_form in eV per atom: 0.771
Total magnetic moment in μB per cell: 1.76
Crystal system: cubic
DFT total energy in eV for the cell shown: -18.480

Cell: 4.7110 4.7110 4.7110 Å, 60.00 60.00 60.00°
Positions (direct):
Be  0.3814  0.3814  0.8559
Be  0.8559  0.3814  0.3814
Be  0.3814  0.8559  0.3814
K  0.0000  0.0000  0.0000
Be  0.3814  0.3814  0.3814
Co  0.7500  0.7500  0.7500